[1]
A plane-wave DFT calculation with PBE was carried out for a relaxed Ho3ErRh2 crystal.

The structure in POSCAR format:
```
Ho3ErRh2
1.0
4.6548 0.0000 0.0000
0.0000 7.1298 0.0000
0.0000 0.0000 8.6625
Ho Er Rh
6 2 4
direct
0.5000 0.1413 0.8315 Ho
0.0000 0.9882 0.0856 Ho
0.0000 0.3586 0.3324 Ho
0.0000 0.8586 0.6676 Ho
0.5000 0.6413 0.1685 Ho
0.0000 0.4882 0.9144 Ho
0.5000 0.0119 0.4146 Er
0.5000 0.5119 0.5854 Er
0.5000 0.2423 0.1601 Rh
0.0000 0.7578 0.3409 Rh
0.0000 0.2578 0.6591 Rh
0.5000 0.7423 0.8399 Rh
```

Summary:
ΔH_f (0 K)   -0.68 eV/atom

***

[2]
A plane-wave DFT calculation with PBE was carried out for a relaxed Ho3Er2Rh2 crystal.

The structure in POSCAR format:
```
Ho3Er2Rh2
1.0
3.7832 0.0000 0.0000
-1.8916 5.9416 -0.4348
0.0000 -3.2987 8.1855
Rh Ho Er
2 3 2
direct
0.1783 0.3566 0.2390 Rh
0.8217 0.6434 0.7610 Rh
0.6156 0.2311 0.4302 Ho
0.3844 0.7689 0.5698 Ho
0.5000 0.0000 0.0000 Ho
0.1665 0.3330 0.8084 Er
0.8335 0.6670 0.1916 Er
```

Summary:
ΔH_f (0 K)   -0.60 eV/atom

***

[3]
A plane-wave DFT calculation with PBE was carried out for a relaxed Ho2ErRh4 crystal.

The structure in POSCAR format:
```
Ho2ErRh4
1.0
4.5790 0.0000 -1.4597
-0.4653 4.5553 -1.4597
-0.2842 -0.3147 7.0205
Ho Rh Er
2 4 1
direct
0.2752 0.2752 0.5504 Ho
0.7248 0.7248 0.4496 Ho
0.3790 0.8790 0.7579 Rh
0.1210 0.6210 0.2421 Rh
0.8790 0.3790 0.7579 Rh
0.6210 0.1210 0.2421 Rh
0.0000 0.0000 0.0000 Er
```

Summary:
ΔH_f (0 K)   -0.57 eV/atom